Record 1
Compound: La2BiI3
Source: the Alexandria database
Functional: PBE-GGA
Structure: relaxed

abc: 11.566 11.566 13.580
angles: 120.20 120.20 22.25
Fractional positions:
La 0.039 0.039 0.175
La 0.200 0.200 0.103
La 0.800 0.800 0.897
La 0.961 0.961 0.825
Bi 0.418 0.418 0.990
Bi 0.582 0.582 0.010
I 0.179 0.179 0.839
I 0.206 0.206 0.336
I 0.453 0.453 0.649
I 0.547 0.547 0.351
I 0.794 0.794 0.664
I 0.821 0.821 0.161

E (eV/atom): -4.347
ΔE_f (raw) (eV per atom): -1.28
V (A^3/atom): 49.2

***

Record 2
Compound: La2BiI
Source: the Alexandria database
Functional: PBE-GGA
Structure: relaxed

abc: 5.668 5.668 5.668
angles: 60.00 60.00 60.00
Fractional positions:
La 0.250 0.250 0.250
La 0.750 0.750 0.750
Bi 0.000 0.000 0.000
I 0.500 0.500 0.500

E (eV/atom): -4.816
ΔE_f (raw) (eV per atom): -0.99
V (A^3/atom): 32.2

***

Record 3
Compound: La4Bi2I
Source: the Alexandria database
Functional: PBE-GGA
Structure: relaxed

abc: 9.438 9.438 9.438
angles: 144.28 144.28 51.41
Fractional positions:
La 0.000 0.500 0.500
La 0.180 0.180 0.000
La 0.500 0.000 0.500
La 0.820 0.820 0.000
Bi 0.371 0.371 0.000
Bi 0.629 0.629 0.000
I 0.000 0.000 0.000

E (eV/atom): -4.566
ΔE_f (raw) (eV per atom): -0.42
V (A^3/atom): 40.7

***

Record 4
Compound: La2BiI
Source: the Alexandria database
Functional: PBE-GGA
Structure: relaxed

abc: 8.969 8.969 8.969
angles: 131.69 131.69 70.72
Fractional positions:
La 0.115 0.625 0.990
La 0.375 0.365 0.490
La 0.635 0.125 0.010
La 0.875 0.885 0.510
Bi 0.000 0.000 0.000
Bi 0.750 0.250 0.500
I 0.250 0.750 0.500
I 0.500 0.500 0.000

E (eV/atom): -4.327
ΔE_f (raw) (eV per atom): -0.51
V (A^3/atom): 49.3

***

Record 5
Compound: La6Bi5I
Source: the Alexandria database
Functional: PBE-GGA
Structure: relaxed

abc: 8.138 8.138 8.123
angles: 99.59 99.59 119.99
Fractional positions:
La 0.070 0.414 0.743
La 0.241 0.241 0.255
La 0.414 0.070 0.743
La 0.586 0.930 0.257
La 0.759 0.759 0.745
La 0.930 0.586 0.257
Bi 0.000 0.000 0.500
Bi 0.167 0.833 0.000
Bi 0.337 0.663 0.500
Bi 0.663 0.337 0.500
Bi 0.833 0.167 0.000
I 0.500 0.500 0.000

E (eV/atom): -5.298
ΔE_f (raw) (eV per atom): -1.09
V (A^3/atom): 36.6

***

Record 6
Compound: La3BiI3
Source: the Alexandria database
Functional: PBE-GGA
Structure: relaxed

abc: 11.288 11.288 11.288
angles: 109.47 109.47 109.47
Fractional positions:
La 0.006 0.013 0.256
La 0.006 0.494 0.750
La 0.013 0.256 0.006
La 0.244 0.256 0.750
La 0.244 0.487 0.494
La 0.256 0.006 0.013
La 0.256 0.750 0.244
La 0.487 0.494 0.244
La 0.494 0.244 0.487
La 0.494 0.750 0.006
La 0.750 0.006 0.494
La 0.750 0.244 0.256
Bi 0.000 0.250 0.500
Bi 0.250 0.250 0.250
Bi 0.250 0.500 0.000
Bi 0.500 0.000 0.250
I 0.250 0.756 0.744
I 0.250 0.994 0.506
I 0.506 0.250 0.994
I 0.506 0.756 0.513
I 0.513 0.506 0.756
I 0.744 0.250 0.756
I 0.744 0.994 0.987
I 0.756 0.513 0.506
I 0.756 0.744 0.250
I 0.987 0.744 0.994
I 0.994 0.506 0.250
I 0.994 0.987 0.744

E (eV/atom): -4.550
ΔE_f (raw) (eV per atom): -1.22
V (A^3/atom): 39.5

***

Record 7
Compound: La2BiI
Source: the Alexandria database
Functional: PBE-GGA
Structure: relaxed

abc: 8.280 4.469 15.588
angles: 90.00 90.00 90.00
Fractional positions:
La 0.154 0.250 0.236
La 0.192 0.750 0.998
La 0.308 0.250 0.498
La 0.346 0.750 0.736
La 0.654 0.250 0.264
La 0.692 0.750 0.502
La 0.808 0.250 0.002
La 0.846 0.750 0.764
Bi 0.101 0.250 0.847
Bi 0.399 0.750 0.347
Bi 0.601 0.250 0.653
Bi 0.899 0.750 0.153
I 0.072 0.750 0.593
I 0.428 0.250 0.093
I 0.572 0.750 0.907
I 0.928 0.250 0.407

E (eV/atom): -4.887
ΔE_f (raw) (eV per atom): -1.07
V (A^3/atom): 36.0

***

Record 8
Compound: La5Bi2I
Source: the Alexandria database
Functional: PBE-GGA
Structure: relaxed

abc: 6.994 6.994 7.824
angles: 123.97 123.97 68.03
Fractional positions:
La 0.000 0.000 0.000
La 0.057 0.540 0.543
La 0.057 0.541 0.059
La 0.540 0.057 0.543
La 0.541 0.057 0.059
Bi 0.043 0.043 0.546
Bi 0.543 0.543 0.045
I 0.591 0.591 0.593

E (eV/atom): -4.931
ΔE_f (raw) (eV per atom): -0.69
V (A^3/atom): 32.8

***

- Among the records above, which one has the highest ΔE_f (raw)?
  La4Bi2I